No. 1
A plane-wave DFT calculation with GGA-PBE was carried out for a relaxed Tm2Al3Ir crystal.

The structure belongs to space group R-3m (No. 166, hexagonal axes); the cell edges are 5.4295, 5.4295 and 13.1478 Å and the angles 90.00°, 90.00° and 120.00°. The distinct sites, in fractional coordinates, are Tm at (0.0000, 0.0000, 0.1266), Al at (0.0000, 0.5000, 0.0000) and Ir at (0.0000, 0.0000, 0.5000).

The formation energy comes out at -726 meV per atom. As for the magnetic moment: 0.0 μB per formula unit. For the final energy, the calculation gives -5.56 eV per atom.

No. 2
A plane-wave DFT calculation with GGA-PBE was carried out for a relaxed TmAlIr2 crystal.

The structure belongs to space group P4/mmm (No. 123); the cell edges are 4.393, 4.393 and 3.426 Å and the angles 90.00°, 90.00° and 90.00°. The distinct sites, in fractional coordinates, are Tm at (0.000, 0.000, 0.000), Al at (0.500, 0.500, 0.000) and Ir at (0.000, 0.500, 0.500).

The formation energy comes out at -828 meV per atom. As for the magnetic moment: 0.0 μB per formula unit. For the final energy, the calculation gives -7.31 eV per atom.

No. 3
A plane-wave DFT calculation with GGA-PBE was carried out for a relaxed Tm6AlIr crystal.

The structure belongs to space group C2/m (No. 12); the cell edges are 6.749, 11.316 and 6.600 Å and the angles 90.00°, 114.67° and 90.00°. The distinct sites, in fractional coordinates, are Tm at (0.229, 0.193, 0.247), Tm at (0.235, 0.000, 0.763), Al at (0.000, 0.500, 0.500) and Ir at (0.000, 0.000, 0.000).

The formation energy comes out at -144 meV per atom. As for the magnetic moment: 0.0 μB per formula unit. For the final energy, the calculation gives -5.07 eV per atom.

No. 4
A plane-wave DFT calculation with GGA-PBE was carried out for a relaxed Tm12Al3Ir5 crystal.

The structure belongs to space group Ia-3d (No. 230); the cell edges are 16.701, 16.701 and 16.701 Å and the angles 90.00°, 90.00° and 90.00°. The distinct sites, in fractional coordinates, are Tm at (0.025, 0.062, 0.649), Al at (0.000, 0.250, 0.125), Ir at (0.000, 0.000, 0.000) and Ir at (0.000, 0.250, 0.375).

The formation energy comes out at -192 meV per atom. As for the magnetic moment: 0.0 μB per formula unit. For the final energy, the calculation gives -5.65 eV per atom.

No. 5
A plane-wave DFT calculation with GGA-PBE was carried out for a relaxed Tm2Al6Ir crystal.

The structure belongs to space group P-3m1 (No. 164); the cell edges are 5.6683, 5.6683 and 6.0201 Å and the angles 90.00°, 90.00° and 120.00°. The distinct sites, in fractional coordinates, are Tm at (0.3333, 0.6667, 0.1184), Al at (0.1710, 0.3420, 0.6804) and Ir at (0.0000, 0.0000, 0.0000).

The formation energy comes out at -538 meV per atom. As for the magnetic moment: 0.0 μB per formula unit. For the final energy, the calculation gives -5.01 eV per atom.

No. 6
A plane-wave DFT calculation with GGA-PBE was carried out for a relaxed TmAlIr2 crystal.

The structure belongs to space group P4/mmm (No. 123); the cell edges are 3.115, 3.115 and 6.772 Å and the angles 90.00°, 90.00° and 90.00°. The distinct sites, in fractional coordinates, are Tm at (0.000, 0.000, 0.000), Al at (0.000, 0.000, 0.500) and Ir at (0.500, 0.500, 0.283).

The formation energy comes out at -856 meV per atom. As for the magnetic moment: 0.0 μB per formula unit. For the final energy, the calculation gives -7.34 eV per atom.